[1]
The following is a GGA-PBEsol calculation of a relaxed Ca3BeBr crystal, from the Alexandria database.

Lattice parameters (Å, degrees): 5.508 5.508 5.508 90.00 90.00 90.00
Space group Pm-3m (No. 221)
Symmetry-distinct sites (fractional):
Ca: 0.000 0.000 0.500 [3 per cell]
Be: 0.000 0.000 0.000 [1 per cell]
Br: 0.500 0.500 0.500 [1 per cell]

Computed properties:
D(E_F) in states/eV/f.u.: 4.189
Formation energy without anion corrections in eV/atom: -0.13
Total magnetization in μB per atom: 0.000

***

[2]
The following is a GGA-PBEsol calculation of a relaxed CaBeIBr2 crystal, from the Alexandria database.

Lattice parameters (Å, degrees): 5.266 5.266 12.609 90.00 90.00 90.00
Space group P4/mmm (No. 123)
Symmetry-distinct sites (fractional):
Ca: 0.000 0.000 0.000 [1 per cell]
Be: 0.000 0.000 0.500 [1 per cell]
I: 0.500 0.500 0.500 [1 per cell]
Br: 0.000 0.500 0.000 [2 per cell]

Computed properties:
D(E_F) in states/eV/f.u.: 2.748
Formation energy without anion corrections in eV/atom: -0.20
Total magnetization in μB per atom: 0.000

***

[3]
The following is a GGA-PBEsol calculation of a relaxed SrCa2BeBr crystal, from the Alexandria database.

Lattice parameters (Å, degrees): 6.918 6.918 5.549 90.00 90.00 90.00
Space group P4/mmm (No. 123)
Symmetry-distinct sites (fractional):
Sr: 0.000 0.000 0.000 [1 per cell]
Ca: 0.000 0.500 0.000 [2 per cell]
Be: 0.500 0.500 0.500 [1 per cell]
Br: 0.000 0.000 0.500 [1 per cell]

Computed properties:
D(E_F) in states/eV/f.u.: 5.546
Formation energy without anion corrections in eV/atom: 0.73
Total magnetization in μB per atom: 0.000